## a
# TlPd2C2, relaxed, DFT GGA-PBE
data_TlPd2C2
_space_group_name_H-M_alt 'P 1'
_space_group_IT_number 1
_cell_length_a 7.291
_cell_length_b 7.291
_cell_length_c 3.139
_cell_angle_alpha 90.00
_cell_angle_beta 90.00
_cell_angle_gamma 90.00
loop_
_space_group_symop_operation_xyz
'x,y,z'
loop_
_atom_site_label
_atom_site_type_symbol
_atom_site_fract_x
_atom_site_fract_y
_atom_site_fract_z
Tl1 Tl 0.000 0.000 0.000
Tl2 Tl 0.500 0.500 0.000
Pd1 Pd 0.188 0.312 0.500
Pd2 Pd 0.312 0.812 0.500
Pd3 Pd 0.688 0.188 0.500
Pd4 Pd 0.812 0.688 0.500
C1 C 0.064 0.436 0.000
C2 C 0.436 0.936 0.000
C3 C 0.564 0.064 0.000
C4 C 0.936 0.564 0.000
# Crystal system = tetragonal

=====

## b
# TlPd2C2, relaxed, DFT GGA-PBE
data_TlPd2C2
_space_group_name_H-M_alt 'P 1'
_space_group_IT_number 1
_cell_length_a 4.174
_cell_length_b 4.174
_cell_length_c 7.887
_cell_angle_alpha 90.00
_cell_angle_beta 90.00
_cell_angle_gamma 90.00
loop_
_space_group_symop_operation_xyz
'x,y,z'
loop_
_atom_site_label
_atom_site_type_symbol
_atom_site_fract_x
_atom_site_fract_y
_atom_site_fract_z
Tl1 Tl 0.000 0.000 0.000
Tl2 Tl 0.500 0.500 0.500
Pd1 Pd 0.000 0.500 0.250
Pd2 Pd 0.000 0.500 0.750
Pd3 Pd 0.500 0.000 0.250
Pd4 Pd 0.500 0.000 0.750
C1 C 0.000 0.000 0.416
C2 C 0.000 0.000 0.584
C3 C 0.500 0.500 0.084
C4 C 0.500 0.500 0.916
# Crystal system = tetragonal

=====

Stability check: which of them is least stable? b.

=====

## a
# Tm3PdC, relaxed, DFT GGA-PBE
data_Tm3PdC
_space_group_name_H-M_alt 'P 1'
_space_group_IT_number 1
_cell_length_a 8.564
_cell_length_b 3.594
_cell_length_c 13.613
_cell_angle_alpha 90.00
_cell_angle_beta 90.00
_cell_angle_gamma 90.00
loop_
_space_group_symop_operation_xyz
'x,y,z'
loop_
_atom_site_label
_atom_site_type_symbol
_atom_site_fract_x
_atom_site_fract_y
_atom_site_fract_z
Tm1 Tm 0.001 0.250 0.105
Tm2 Tm 0.177 0.250 0.531
Tm3 Tm 0.189 0.750 0.307
Tm4 Tm 0.311 0.250 0.807
Tm5 Tm 0.323 0.750 0.031
Tm6 Tm 0.499 0.750 0.605
Tm7 Tm 0.501 0.250 0.395
Tm8 Tm 0.677 0.250 0.969
Tm9 Tm 0.689 0.750 0.193
Tm10 Tm 0.811 0.250 0.693
Tm11 Tm 0.823 0.750 0.469
Tm12 Tm 0.999 0.750 0.895
Pd1 Pd 0.094 0.750 0.687
Pd2 Pd 0.406 0.250 0.187
Pd3 Pd 0.594 0.750 0.813
Pd4 Pd 0.906 0.250 0.313
C1 C 0.162 0.250 0.953
C2 C 0.338 0.750 0.453
C3 C 0.662 0.250 0.547
C4 C 0.838 0.750 0.047
# Crystal system = orthorhombic

=====

## b
# Tm3PdC, relaxed, DFT GGA-PBE
data_Tm3PdC
_space_group_name_H-M_alt 'P 1'
_space_group_IT_number 1
_cell_length_a 4.755
_cell_length_b 4.755
_cell_length_c 4.755
_cell_angle_alpha 90.00
_cell_angle_beta 90.00
_cell_angle_gamma 90.00
loop_
_space_group_symop_operation_xyz
'x,y,z'
loop_
_atom_site_label
_atom_site_type_symbol
_atom_site_fract_x
_atom_site_fract_y
_atom_site_fract_z
Tm1 Tm 0.000 0.000 0.500
Tm2 Tm 0.000 0.500 0.000
Tm3 Tm 0.500 0.000 0.000
Pd1 Pd 0.500 0.500 0.500
C1 C 0.000 0.000 0.000
# Crystal system = cubic

=====

Stability check: which of them is least stable? b.

=====

## a
# VPdC2, relaxed, DFT GGA-PBE
data_VPdC2
_space_group_name_H-M_alt 'P 1'
_space_group_IT_number 1
_cell_length_a 5.362
_cell_length_b 5.362
_cell_length_c 5.362
_cell_angle_alpha 90.00
_cell_angle_beta 90.00
_cell_angle_gamma 90.00
loop_
_space_group_symop_operation_xyz
'x,y,z'
loop_
_atom_site_label
_atom_site_type_symbol
_atom_site_fract_x
_atom_site_fract_y
_atom_site_fract_z
V1 V 0.000 0.000 0.000
V2 V 0.000 0.500 0.500
V3 V 0.500 0.000 0.500
V4 V 0.500 0.500 0.000
Pd1 Pd 0.000 0.000 0.500
Pd2 Pd 0.000 0.500 0.000
Pd3 Pd 0.500 0.000 0.000
Pd4 Pd 0.500 0.500 0.500
C1 C 0.250 0.250 0.250
C2 C 0.250 0.250 0.750
C3 C 0.250 0.750 0.250
C4 C 0.250 0.750 0.750
C5 C 0.750 0.250 0.250
C6 C 0.750 0.250 0.750
C7 C 0.750 0.750 0.250
C8 C 0.750 0.750 0.750
# Crystal system = cubic

=====

## b
# VPdC2, relaxed, DFT GGA-PBE
data_VPdC2
_space_group_name_H-M_alt 'P 1'
_space_group_IT_number 1
_cell_length_a 4.621
_cell_length_b 4.621
_cell_length_c 9.217
_cell_angle_alpha 90.00
_cell_angle_beta 90.00
_cell_angle_gamma 90.00
loop_
_space_group_symop_operation_xyz
'x,y,z'
loop_
_atom_site_label
_atom_site_type_symbol
_atom_site_fract_x
_atom_site_fract_y
_atom_site_fract_z
V1 V 0.000 0.000 0.000
V2 V 0.000 0.500 0.250
V3 V 0.500 0.000 0.750
V4 V 0.500 0.500 0.500
Pd1 Pd 0.000 0.000 0.500
Pd2 Pd 0.000 0.500 0.750
Pd3 Pd 0.500 0.000 0.250
Pd4 Pd 0.500 0.500 0.000
C1 C 0.228 0.250 0.125
C2 C 0.250 0.728 0.375
C3 C 0.250 0.772 0.875
C4 C 0.272 0.250 0.625
C5 C 0.728 0.750 0.625
C6 C 0.750 0.228 0.875
C7 C 0.750 0.272 0.375
C8 C 0.772 0.750 0.125
# Crystal system = tetragonal

=====

Stability check: which of them is least stable? a.

=====

## a
# V3PdC, relaxed, DFT GGA-PBE
data_V3PdC
_space_group_name_H-M_alt 'P 1'
_space_group_IT_number 1
_cell_length_a 3.978
_cell_length_b 3.978
_cell_length_c 3.978
_cell_angle_alpha 90.00
_cell_angle_beta 90.00
_cell_angle_gamma 90.00
loop_
_space_group_symop_operation_xyz
'x,y,z'
loop_
_atom_site_label
_atom_site_type_symbol
_atom_site_fract_x
_atom_site_fract_y
_atom_site_fract_z
V1 V 0.000 0.000 0.500
V2 V 0.000 0.500 0.000
V3 V 0.500 0.000 0.000
Pd1 Pd 0.500 0.500 0.500
C1 C 0.000 0.000 0.000
# Crystal system = cubic

=====

## b
# V3PdC, relaxed, DFT GGA-PBE
data_V3PdC
_space_group_name_H-M_alt 'P 1'
_space_group_IT_number 1
_cell_length_a 4.922
_cell_length_b 4.922
_cell_length_c 7.762
_cell_angle_alpha 115.17
_cell_angle_beta 115.17
_cell_angle_gamma 48.60
loop_
_space_group_symop_operation_xyz
'x,y,z'
loop_
_atom_site_label
_atom_site_type_symbol
_atom_site_fract_x
_atom_site_fract_y
_atom_site_fract_z
V1 V 0.128 0.128 0.189
V2 V 0.135 0.135 0.676
V3 V 0.369 0.369 0.060
V4 V 0.631 0.631 0.940
V5 V 0.865 0.865 0.324
V6 V 0.872 0.872 0.811
Pd1 Pd 0.376 0.376 0.562
Pd2 Pd 0.624 0.624 0.438
C1 C 0.118 0.118 0.923
C2 C 0.882 0.882 0.077
# Crystal system = monoclinic

=====

Stability check: which of them is least stable? a.

=====

## a
# PdWC3, relaxed, DFT GGA-PBE
data_PdWC3
_space_group_name_H-M_alt 'P 1'
_space_group_IT_number 1
_cell_length_a 3.917
_cell_length_b 3.917
_cell_length_c 3.917
_cell_angle_alpha 90.00
_cell_angle_beta 90.00
_cell_angle_gamma 90.00
loop_
_space_group_symop_operation_xyz
'x,y,z'
loop_
_atom_site_label
_atom_site_type_symbol
_atom_site_fract_x
_atom_site_fract_y
_atom_site_fract_z
Pd1 Pd 0.000 0.000 0.000
W1 W 0.500 0.500 0.500
C1 C 0.000 0.000 0.500
C2 C 0.000 0.500 0.000
C3 C 0.500 0.000 0.000
# Crystal system = cubic

=====

## b
# PdWC3, relaxed, DFT GGA-PBE
data_PdWC3
_space_group_name_H-M_alt 'P 1'
_space_group_IT_number 1
_cell_length_a 4.090
_cell_length_b 4.090
_cell_length_c 4.090
_cell_angle_alpha 90.00
_cell_angle_beta 90.00
_cell_angle_gamma 90.00
loop_
_space_group_symop_operation_xyz
'x,y,z'
loop_
_atom_site_label
_atom_site_type_symbol
_atom_site_fract_x
_atom_site_fract_y
_atom_site_fract_z
Pd1 Pd 0.000 0.000 0.000
W1 W 0.500 0.500 0.500
C1 C 0.000 0.500 0.500
C2 C 0.500 0.000 0.500
C3 C 0.500 0.500 0.000
# Crystal system = cubic

=====

Stability check: which of them is least stable? a.

=====

## a
# Pd2WC2, relaxed, DFT GGA-PBE
data_Pd2WC2
_space_group_name_H-M_alt 'P 1'
_space_group_IT_number 1
_cell_length_a 2.658
_cell_length_b 2.658
_cell_length_c 16.467
_cell_angle_alpha 90.00
_cell_angle_beta 90.00
_cell_angle_gamma 90.00
loop_
_space_group_symop_operation_xyz
'x,y,z'
loop_
_atom_site_label
_atom_site_type_symbol
_atom_site_fract_x
_atom_site_fract_y
_atom_site_fract_z
Pd1 Pd 0.000 0.000 0.125
Pd2 Pd 0.000 0.000 0.875
Pd3 Pd 0.500 0.500 0.375
Pd4 Pd 0.500 0.500 0.625
W1 W 0.000 0.000 0.500
W2 W 0.500 0.500 0.000
C1 C 0.000 0.500 0.250
C2 C 0.000 0.500 0.750
C3 C 0.500 0.000 0.250
C4 C 0.500 0.000 0.750
# Crystal system = tetragonal

=====

## b
# Pd2WC2, relaxed, DFT GGA-PBE
data_Pd2WC2
_space_group_name_H-M_alt 'P 1'
_space_group_IT_number 1
_cell_length_a 6.794
_cell_length_b 6.794
_cell_length_c 2.721
_cell_angle_alpha 90.00
_cell_angle_beta 90.00
_cell_angle_gamma 90.00
loop_
_space_group_symop_operation_xyz
'x,y,z'
loop_
_atom_site_label
_atom_site_type_symbol
_atom_site_fract_x
_atom_site_fract_y
_atom_site_fract_z
Pd1 Pd 0.136 0.364 0.000
Pd2 Pd 0.364 0.864 0.000
Pd3 Pd 0.636 0.136 0.000
Pd4 Pd 0.864 0.636 0.000
W1 W 0.000 0.000 0.000
W2 W 0.500 0.500 0.000
C1 C 0.201 0.701 0.500
C2 C 0.299 0.201 0.500
C3 C 0.701 0.799 0.500
C4 C 0.799 0.299 0.500
# Crystal system = tetragonal

=====

Stability check: which of them is least stable? b.